11
Lattice="7.139 0.000 0.000 1.842 7.112 0.000 2.432 2.087 6.867" Properties=species:S:1:pos:R:3 comment="PBE Pt2BrCl8, relaxed" total_magnetization_mub_per_cell=1.02 formation_energy_uncorrected_mev_per_atom=-150 pbc="T T T"
Pt 0.000 0.000 0.000
Pt 3.024 5.364 5.319
Br 5.191 2.671 2.760
Cl 3.389 7.020 1.674
Cl 4.773 6.544 6.248
Cl 4.114 3.283 5.546
Cl 7.398 6.283 1.432
Cl 6.353 2.626 0.848
Cl 8.758 7.142 5.298
Cl 8.067 2.170 5.067
Cl 8.631 4.317 4.003